# CaPu4As5

A relaxed structure of CaPu4As5 (PBE, the Alexandria database).

```
10
Lattice="-2.081 2.926 10.431 2.081 -2.926 10.431 2.081 2.926 -10.431" Properties=species:S:1:pos:R:3 pbc="T T T"
Ca 0.000 0.000 0.000
Pu 0.000 0.000 4.214
Pu 0.000 0.000 8.394
Pu 0.000 0.000 12.469
Pu 0.000 0.000 16.648
As 2.081 0.000 2.225
As 2.081 0.000 6.295
As 0.000 2.926 0.000
As 0.000 2.926 4.136
As 0.000 2.926 8.206
```

## Properties
Volume (Å³/atom): 25.40
ΔH_f (0 K) (meV/atom): -997
Crystal system: orthorhombic
E_tot (eV per atom): -9.255

# BaLi2HPb

A relaxed structure of BaLi2HPb (PBE, the Alexandria database).

```
10
Lattice="2.067 -6.511 0.000 2.067 6.511 0.000 0.000 0.000 8.532" Properties=species:S:1:pos:R:3 pbc="T T T"
Ba 2.067 5.912 6.399
Ba 2.067 -5.912 2.133
Li 2.067 2.025 4.659
Li 2.067 2.025 8.138
Li 2.067 -2.025 0.393
Li 2.067 -2.025 3.872
H 2.067 0.000 0.000
H 2.067 0.000 4.266
Pb 2.067 3.530 2.133
Pb 2.067 -3.530 6.399
```

## Properties
Volume (Å³/atom): 22.96
Crystal system: orthorhombic
E_tot (eV per atom): -2.950
Polymorph energy (0 for the lowest one) (eV per atom): 0.000

# TaMn3Ni

A relaxed structure of TaMn3Ni (PBE, the Alexandria database).

```
5
Lattice="4.310 0.000 0.000 0.000 4.310 0.000 0.000 0.000 4.310" Properties=species:S:1:pos:R:3 pbc="T T T"
Ta 0.000 0.000 0.000
Mn 0.000 2.155 2.155
Mn 2.155 0.000 2.155
Mn 2.155 2.155 0.000
Ni 2.155 2.155 2.155
```

## Properties
Volume (Å³/atom): 16.01
ΔH_f (0 K) (meV/atom): 950
Crystal system: cubic
E_tot (eV per atom): -8.079
Polymorph energy (0 for the lowest one) (eV per atom): 0.000

| no. | D(E_F) (states/eV/f.u.) |
| --- | --- |
| 1 | 43.9 |
| 2 | 1.1 |
| 3 | 4.9 |